Entry from the Alexandria database: a relaxed structure of La2HoAu4 (PBE).

Cell and atoms, written as CIF:
```
data_La2HoAu4
_cell_length_a 5.3379
_cell_length_b 5.3379
_cell_length_c 13.2045
_cell_angle_alpha 90.00
_cell_angle_beta 90.00
_cell_angle_gamma 90.00
_space_group_name_H-M_alt 'I 4/m m m'
_space_group_IT_number 139
_space_group_name_Hall '-I 4 2'
loop_
_atom_site_label
_atom_site_type_symbol
_atom_site_fract_x
_atom_site_fract_y
_atom_site_fract_z
La1 La 0.0000 0.0000 0.2165
Ho1 Ho 0.0000 0.0000 0.5000
Au1 Au 0.0000 0.5000 0.1113
```

Properties
The value obtained for the energy relative to the elements is -0.697 eV/atom. The density of states at the Fermi level is 13.6 states/eV per cell. The value obtained for the magnetization is 0.000 μB/f.u.


Entry from the Alexandria database: a relaxed structure of LaHoAu4 (PBE).

Cell and atoms, written as CIF:
```
data_LaHoAu4
_cell_length_a 3.8325
_cell_length_b 5.2799
_cell_length_c 7.7452
_cell_angle_alpha 70.42
_cell_angle_beta 89.96
_cell_angle_gamma 68.99
_space_group_name_H-M_alt 'P -1'
_space_group_IT_number 2
_space_group_name_Hall '-P 1'
loop_
_atom_site_label
_atom_site_type_symbol
_atom_site_fract_x
_atom_site_fract_y
_atom_site_fract_z
La1 La 0.0000 0.0000 0.0000
Ho1 Ho 0.0000 0.0000 0.5000
Au1 Au 0.3343 0.3339 0.6576
Au2 Au 0.3430 0.3199 0.1942
```

Properties
The value obtained for the energy relative to the elements is -0.810 eV/atom. The calculation puts the energy above the most stable polymorph in this dataset at 0 meV per atom. The density of states at the Fermi level is 3.1 states/eV per cell. The value obtained for the magnetization is 0.000 μB/f.u.


Entry from the Alexandria database: a relaxed structure of La2HoAu3 (PBE).

Cell and atoms, written as CIF:
```
data_La2HoAu3
_cell_length_a 5.2016
_cell_length_b 16.0340
_cell_length_c 3.6853
_cell_angle_alpha 90.00
_cell_angle_beta 90.00
_cell_angle_gamma 90.00
_space_group_name_H-M_alt 'P m m n'
_space_group_IT_number 59
loop_
_space_group_symop_operation_xyz
'x,y,z'
'-x,-y,-z'
'-x+1/2,-y+1/2,z'
'x+1/2,y+1/2,-z'
'x+1/2,-y,-z'
'-x+1/2,y,z'
'-x,y+1/2,-z'
'x,-y+1/2,z'
loop_
_atom_site_label
_atom_site_type_symbol
_atom_site_fract_x
_atom_site_fract_y
_atom_site_fract_z
La1 La 0.2500 0.0810 0.0073
Ho1 Ho 0.2500 0.7500 0.9947
Au1 Au 0.2500 0.2500 0.5044
Au2 Au 0.2500 0.5991 0.4936
```

Properties
The value obtained for the energy relative to the elements is -0.801 eV/atom. The density of states at the Fermi level is 10.3 states/eV per cell. The value obtained for the magnetization is 0.000 μB/f.u.


Entry from the Alexandria database: a relaxed structure of LaHoAu4 (PBE).

Cell and atoms, written as CIF:
```
data_LaHoAu4
_cell_length_a 3.8042
_cell_length_b 3.8042
_cell_length_c 9.3626
_cell_angle_alpha 90.00
_cell_angle_beta 90.00
_cell_angle_gamma 90.00
_space_group_name_H-M_alt 'P 4/m m m'
_space_group_IT_number 123
_space_group_name_Hall '-P 4 2'
loop_
_atom_site_label
_atom_site_type_symbol
_atom_site_fract_x
_atom_site_fract_y
_atom_site_fract_z
La1 La 0.0000 0.0000 0.0000
Ho1 Ho 0.5000 0.5000 0.5000
Au1 Au 0.0000 0.0000 0.3427
Au2 Au 0.5000 0.5000 0.1785
```

Properties
The value obtained for the energy relative to the elements is -0.805 eV/atom. The calculation puts the energy above the most stable polymorph in this dataset at 5 meV per atom. The density of states at the Fermi level is 2.6 states/eV per cell. The value obtained for the magnetization is 0.000 μB/f.u.